! NaPr2Y (GGA-PBE, relaxed); values from VASP
&SYSTEM
  ibrav = 0, nat = 4, ntyp = 3
/
ATOMIC_SPECIES
Na 22.99 Na.upf
Pr 140.91 Pr.upf
Y 88.91 Y.upf
CELL_PARAMETERS angstrom
3.5693 0.0000 0.0000
0.0000 3.5693 0.0000
0.0000 0.0000 11.0965
ATOMIC_POSITIONS crystal
Na 0.0000 0.0000 0.0000
Pr 0.5000 0.5000 0.2650
Pr 0.5000 0.5000 0.7350
Y 0.0000 0.0000 0.5000
! Fermi-level density of states ... 4.6 states/eV/f.u.
! Energy above the most stable polymorph in this dataset ... 27 meV/atom
! Calculated formation energy ... 93.4 meV per atom
! Space group ... P4/mmm (123)
! Size of the total moment ... 0.0 μB/cell